Material: NpCrGaO6
Method: DFT, PBE+U
State: optimized geometry

The value obtained for the total energy is -144.9 eV for the cell shown.

The space group is P-31c (No. 163) and the conventional cell measures 5.1891, 5.1891 and 8.9274 Å, with angles of 90.00, 90.00 and 120.00 degrees. The distinct sites, in fractional coordinates, are Np at (0.3333, 0.6667, 0.2500), Cr at (0.0000, 0.0000, 0.0000), Ga at (0.3333, 0.6667, 0.7500) and O at (0.0086, 0.3350, 0.6274).